Entry 1:
# LiCa2YO4, optimized geometry, DFT PBE
# **Energy relative to the elements, uncorrected**: -2.87 eV per atom
# **Crystal system**: monoclinic
# **Calculated total energy**: -6.895 eV per atom
# **Space-group type**: P2/m, No. 10
data_LiCa2YO4
_chemical_formula_sum 'Li1 Ca2 Y1 O4'
_cell_length_a 5.7050
_cell_length_b 3.4053
_cell_length_c 5.7916
_cell_angle_alpha 90.00
_cell_angle_beta 108.06
_cell_angle_gamma 90.00
_space_group_name_H-M_alt 'P 1'
_space_group_IT_number 1
loop_
_space_group_symop_operation_xyz
'x,y,z'
loop_
_atom_site_label
_atom_site_fract_x
_atom_site_fract_y
_atom_site_fract_z
Li1 0.0000 0.0000 0.0000
Ca1 0.0000 0.5000 0.5000
Ca2 0.5000 0.0000 0.5000
Y1 0.5000 0.5000 0.0000
O1 0.2587 0.0000 0.7641
O2 0.2641 0.5000 0.2534
O3 0.7359 0.5000 0.7466
O4 0.7413 0.0000 0.2359

Entry 2:
# LiCa2YO, optimized geometry, DFT PBE
# **Energy relative to the elements, uncorrected**: -1.03 eV per atom
# **Crystal system**: tetragonal
# **Calculated total energy**: -4.499 eV per atom
# **Space-group type**: P4/mmm, No. 123
data_LiCa2YO
_chemical_formula_sum 'Li1 Ca2 Y1 O1'
_cell_length_a 5.2183
_cell_length_b 5.2183
_cell_length_c 4.5582
_cell_angle_alpha 90.00
_cell_angle_beta 90.00
_cell_angle_gamma 90.00
_space_group_name_H-M_alt 'P 1'
_space_group_IT_number 1
loop_
_space_group_symop_operation_xyz
'x,y,z'
loop_
_atom_site_label
_atom_site_fract_x
_atom_site_fract_y
_atom_site_fract_z
Li1 0.0000 0.0000 0.0000
Ca1 0.0000 0.5000 0.5000
Ca2 0.5000 0.0000 0.5000
Y1 0.5000 0.5000 0.0000
O1 0.5000 0.5000 0.5000

Entry 3:
# LiCaY2O, optimized geometry, DFT PBE
# **Energy relative to the elements, uncorrected**: -1.01 eV per atom
# **Crystal system**: tetragonal
# **Calculated total energy**: -5.371 eV per atom
# **Space-group type**: P4/mmm, No. 123
data_LiCaY2O
_chemical_formula_sum 'Li1 Ca1 Y2 O1'
_cell_length_a 4.7360
_cell_length_b 4.7360
_cell_length_c 5.2637
_cell_angle_alpha 90.00
_cell_angle_beta 90.00
_cell_angle_gamma 90.00
_space_group_name_H-M_alt 'P 1'
_space_group_IT_number 1
loop_
_space_group_symop_operation_xyz
'x,y,z'
loop_
_atom_site_label
_atom_site_fract_x
_atom_site_fract_y
_atom_site_fract_z
Li1 0.0000 0.0000 0.0000
Ca1 0.5000 0.5000 0.0000
Y1 0.0000 0.5000 0.5000
Y2 0.5000 0.0000 0.5000
O1 0.5000 0.5000 0.5000

Entry 4:
# LiCa2ZnO, optimized geometry, DFT PBE
# **Energy relative to the elements, uncorrected**: -1.16 eV per atom
# **Crystal system**: tetragonal
# **Calculated total energy**: -3.588 eV per atom
# **Space-group type**: P4/mmm, No. 123
data_LiCa2ZnO
_chemical_formula_sum 'Li1 Ca2 Zn1 O1'
_cell_length_a 4.8136
_cell_length_b 4.8136
_cell_length_c 4.2137
_cell_angle_alpha 90.00
_cell_angle_beta 90.00
_cell_angle_gamma 90.00
_space_group_name_H-M_alt 'P 1'
_space_group_IT_number 1
loop_
_space_group_symop_operation_xyz
'x,y,z'
loop_
_atom_site_label
_atom_site_fract_x
_atom_site_fract_y
_atom_site_fract_z
Li1 0.0000 0.0000 0.0000
Ca1 0.0000 0.5000 0.5000
Ca2 0.5000 0.0000 0.5000
Zn1 0.5000 0.5000 0.0000
O1 0.0000 0.0000 0.5000

Entry 5:
# LiCaOs3, optimized geometry, DFT PBE
# **Crystal system**: cubic
# **E above lowest polymorph**: 0.000 eV per atom
# **Calculated total energy**: -6.209 eV per atom
# **Space-group type**: Pm-3m, No. 221
# **ΔE_f**: 127 kJ per mole of atoms
data_LiCaOs3
_chemical_formula_sum 'Li1 Ca1 Os3'
_cell_length_a 4.2958
_cell_length_b 4.2958
_cell_length_c 4.2958
_cell_angle_alpha 90.00
_cell_angle_beta 90.00
_cell_angle_gamma 90.00
_space_group_name_H-M_alt 'P 1'
_space_group_IT_number 1
loop_
_space_group_symop_operation_xyz
'x,y,z'
loop_
_atom_site_label
_atom_site_fract_x
_atom_site_fract_y
_atom_site_fract_z
Li1 0.0000 0.0000 0.0000
Ca1 0.5000 0.5000 0.5000
Os1 0.0000 0.0000 0.5000
Os2 0.0000 0.5000 0.0000
Os3 0.5000 0.0000 0.0000

Entry 6:
# LiCaOs, optimized geometry, DFT PBE
# **Crystal system**: cubic
# **E above lowest polymorph**: 0.609 eV per atom
# **Calculated total energy**: -4.057 eV per atom
# **Space-group type**: F-43m, No. 216
# **ΔE_f**: 96 kJ per mole of atoms
data_LiCaOs
_chemical_formula_sum 'Li1 Ca1 Os1'
_cell_length_a 4.4141
_cell_length_b 4.4141
_cell_length_c 4.4141
_cell_angle_alpha 60.00
_cell_angle_beta 60.00
_cell_angle_gamma 60.00
_space_group_name_H-M_alt 'P 1'
_space_group_IT_number 1
loop_
_space_group_symop_operation_xyz
'x,y,z'
loop_
_atom_site_label
_atom_site_fract_x
_atom_site_fract_y
_atom_site_fract_z
Li1 0.0000 0.0000 0.0000
Ca1 0.2500 0.2500 0.2500
Os1 0.7500 0.7500 0.7500

Entry 7:
# Li3CaOs, optimized geometry, DFT PBE
# **Crystal system**: cubic
# **E above lowest polymorph**: 0.000 eV per atom
# **Calculated total energy**: -3.135 eV per atom
# **Space-group type**: Pm-3m, No. 221
# **ΔE_f**: 64 kJ per mole of atoms
data_Li3CaOs
_chemical_formula_sum 'Li3 Ca1 Os1'
_cell_length_a 4.7425
_cell_length_b 4.7425
_cell_length_c 4.7425
_cell_angle_alpha 90.00
_cell_angle_beta 90.00
_cell_angle_gamma 90.00
_space_group_name_H-M_alt 'P 1'
_space_group_IT_number 1
loop_
_space_group_symop_operation_xyz
'x,y,z'
loop_
_atom_site_label
_atom_site_fract_x
_atom_site_fract_y
_atom_site_fract_z
Li1 0.0000 0.0000 0.5000
Li2 0.0000 0.5000 0.0000
Li3 0.5000 0.0000 0.0000
Ca1 0.5000 0.5000 0.5000
Os1 0.0000 0.0000 0.0000

Entry 8:
# LiCa2Os2, optimized geometry, DFT PBE
# **Crystal system**: tetragonal
# **E above lowest polymorph**: 0.000 eV per atom
# **Calculated total energy**: -5.294 eV per atom
# **Space-group type**: I4/mmm, No. 139
# **ΔE_f**: 37 kJ per mole of atoms
data_LiCa2Os2
_chemical_formula_sum 'Li1 Ca2 Os2'
_cell_length_a 10.4636
_cell_length_b 10.4636
_cell_length_c 10.4636
_cell_angle_alpha 160.31
_cell_angle_beta 160.31
_cell_angle_gamma 27.99
_space_group_name_H-M_alt 'P 1'
_space_group_IT_number 1
loop_
_space_group_symop_operation_xyz
'x,y,z'
loop_
_atom_site_label
_atom_site_fract_x
_atom_site_fract_y
_atom_site_fract_z
Li1 0.0000 0.0000 0.0000
Ca1 0.3732 0.3732 0.0000
Ca2 0.6268 0.6268 0.0000
Os1 0.2500 0.7500 0.5000
Os2 0.7500 0.2500 0.5000

Entry 9:
# LiCaOs3, optimized geometry, DFT PBE
# **Crystal system**: cubic
# **E above lowest polymorph**: 1.670 eV per atom
# **Calculated total energy**: -4.539 eV per atom
# **Space-group type**: Pm-3m, No. 221
# **ΔE_f**: 288 kJ per mole of atoms
data_LiCaOs3
_chemical_formula_sum 'Li1 Ca1 Os3'
_cell_length_a 4.7368
_cell_length_b 4.7368
_cell_length_c 4.7368
_cell_angle_alpha 90.00
_cell_angle_beta 90.00
_cell_angle_gamma 90.00
_space_group_name_H-M_alt 'P 1'
_space_group_IT_number 1
loop_
_space_group_symop_operation_xyz
'x,y,z'
loop_
_atom_site_label
_atom_site_fract_x
_atom_site_fract_y
_atom_site_fract_z
Li1 0.0000 0.0000 0.0000
Ca1 0.5000 0.5000 0.5000
Os1 0.0000 0.5000 0.5000
Os2 0.5000 0.0000 0.5000
Os3 0.5000 0.5000 0.0000

Entry 10:
# LiCaOs, optimized geometry, DFT PBE
# **Crystal system**: tetragonal
# **E above lowest polymorph**: 0.175 eV per atom
# **Calculated total energy**: -4.490 eV per atom
# **Space-group type**: I4mm, No. 107
# **ΔE_f**: 54 kJ per mole of atoms
data_LiCaOs
_chemical_formula_sum 'Li1 Ca1 Os1'
_cell_length_a 7.3816
_cell_length_b 7.3816
_cell_length_c 7.3816
_cell_angle_alpha 157.69
_cell_angle_beta 157.69
_cell_angle_gamma 31.75
_space_group_name_H-M_alt 'P 1'
_space_group_IT_number 1
loop_
_space_group_symop_operation_xyz
'x,y,z'
loop_
_atom_site_label
_atom_site_fract_x
_atom_site_fract_y
_atom_site_fract_z
Li1 0.0000 0.0000 0.0000
Ca1 0.7149 0.7149 0.0000
Os1 0.3679 0.3679 0.0000

Entry 11:
# LiCa2Os2, optimized geometry, DFT PBE
# **Crystal system**: tetragonal
# **E above lowest polymorph**: 0.241 eV per atom
# **Calculated total energy**: -5.053 eV per atom
# **Space-group type**: P4/mbm, No. 127
# **ΔE_f**: 60 kJ per mole of atoms
data_LiCa2Os2
_chemical_formula_sum 'Li2 Ca4 Os4'
_cell_length_a 8.8023
_cell_length_b 8.8023
_cell_length_c 2.9591
_cell_angle_alpha 90.00
_cell_angle_beta 90.00
_cell_angle_gamma 90.00
_space_group_name_H-M_alt 'P 1'
_space_group_IT_number 1
loop_
_space_group_symop_operation_xyz
'x,y,z'
loop_
_atom_site_label
_atom_site_fract_x
_atom_site_fract_y
_atom_site_fract_z
Li1 0.0000 0.0000 0.0000
Li2 0.5000 0.5000 0.0000
Ca1 0.1909 0.3091 0.0000
Ca2 0.3091 0.8091 0.0000
Ca3 0.6909 0.1909 0.0000
Ca4 0.8091 0.6909 0.0000
Os1 0.0926 0.5926 0.5000
Os2 0.4074 0.0926 0.5000
Os3 0.5926 0.9074 0.5000
Os4 0.9074 0.4074 0.5000

Entry 12:
# LiCa3Os, optimized geometry, DFT PBE
# **Crystal system**: cubic
# **E above lowest polymorph**: 0.000 eV per atom
# **Calculated total energy**: -3.499 eV per atom
# **Space-group type**: Pm-3m, No. 221
# **ΔE_f**: 32 kJ per mole of atoms
data_LiCa3Os
_chemical_formula_sum 'Li1 Ca3 Os1'
_cell_length_a 5.5605
_cell_length_b 5.5605
_cell_length_c 5.5605
_cell_angle_alpha 90.00
_cell_angle_beta 90.00
_cell_angle_gamma 90.00
_space_group_name_H-M_alt 'P 1'
_space_group_IT_number 1
loop_
_space_group_symop_operation_xyz
'x,y,z'
loop_
_atom_site_label
_atom_site_fract_x
_atom_site_fract_y
_atom_site_fract_z
Li1 0.0000 0.0000 0.0000
Ca1 0.0000 0.5000 0.5000
Ca2 0.5000 0.0000 0.5000
Ca3 0.5000 0.5000 0.0000
Os1 0.5000 0.5000 0.5000